Material: AlAg2Au4
Method: DFT, PBE
State: optimized geometry

Results
- ΔE_f (eV per atom) = -0.0885
- calculated total energy (eV per atom) = -3.31
- D(E_F) (states/eV per cell) = 1.9
- symmetry = No. 65

Unit cell a=2.935 b=2.953 c=14.518 alpha=95.84 beta=90.00 gamma=90.00
Element x y z (fractional)
Ag 0.500 0.792 0.584
Ag 0.500 0.208 0.416
Au 0.500 0.940 0.880
Au 0.000 0.363 0.726
Au 0.000 0.637 0.274
Au 0.500 0.060 0.120
Al 0.000 0.500 0.000